A plane-wave DFT calculation with PBE was carried out for a relaxed structure of CaDyPt.

Values from the calculation:
**E above lowest polymorph**: 78 meV per atom
**Final energy**: -29.8 eV per cell
**DFT formation energy**: -0.754 eV per atom

Structure (CIF):
```
data_CaDyPt
_chemical_formula_sum 'Ca2 Dy2 Pt2'
_symmetry_space_group_name_H-M 'P 1'
_symmetry_Int_Tables_number 1
_cell_length_a 3.7434
_cell_length_b 6.8544
_cell_length_c 7.0014
_cell_angle_alpha 75.47
_cell_angle_beta 89.98
_cell_angle_gamma 89.80
loop_
_symmetry_equiv_pos_as_xyz
'x,y,z'
loop_
_atom_site_label
_atom_site_fract_x
_atom_site_fract_y
_atom_site_fract_z
Ca1 0.0000 0.0000 0.0000
Ca2 0.4972 0.9406 0.5055
Dy1 0.9964 0.5093 0.8691
Dy2 0.9968 0.4359 0.3894
Pt1 0.4978 0.2839 0.1482
Pt2 0.4980 0.2845 0.7020
```

A plane-wave DFT calculation with PBE was carried out for a relaxed structure of CaDy3Pt8.

Values from the calculation:
**Final energy**: -76.5 eV per cell
**DFT formation energy**: -1.031 eV per atom

Structure (CIF):
```
data_CaDy3Pt8
_chemical_formula_sum 'Ca1 Dy3 Pt8'
_symmetry_space_group_name_H-M 'P 3 m 1'
_symmetry_Int_Tables_number 156
_cell_length_a 5.4549
_cell_length_b 5.4549
_cell_length_c 8.8662
_cell_angle_alpha 90.00
_cell_angle_beta 90.00
_cell_angle_gamma 120.00
loop_
_symmetry_equiv_pos_as_xyz
'x,y,z'
'-y,x-y,z'
'-x+y,-x,z'
'-y,-x,z'
'-x+y,y,z'
'x,x-y,z'
loop_
_atom_site_label
_atom_site_fract_x
_atom_site_fract_y
_atom_site_fract_z
Ca1 0.0000 0.0000 0.0000
Dy1 0.0000 0.0000 0.3661
Dy2 0.6667 0.3333 0.5064
Dy3 0.6667 0.3333 0.8783
Pt1 0.1641 0.3282 0.6866
Pt2 0.3333 0.6667 0.4386
Pt3 0.3333 0.6667 0.9388
Pt4 0.5027 0.0054 0.1905
```

A plane-wave DFT calculation with PBE was carried out for a relaxed structure of Ca2DyPt9.

Values from the calculation:
**Final energy**: -218.2 eV per cell
**DFT formation energy**: -0.815 eV per atom

Structure (CIF):
```
data_Ca2DyPt9
_chemical_formula_sum 'Ca6 Dy3 Pt27'
_symmetry_space_group_name_H-M 'R -3 m'
_symmetry_Int_Tables_number 166
_symmetry_space_group_name_Hall '-R 3 2"'
_cell_length_a 5.3962
_cell_length_b 5.3962
_cell_length_c 26.7053
_cell_angle_alpha 90.00
_cell_angle_beta 90.00
_cell_angle_gamma 120.00
loop_
_atom_site_label
_atom_site_fract_x
_atom_site_fract_y
_atom_site_fract_z
Ca1 0.0000 0.0000 0.1417
Dy1 0.0000 0.0000 0.0000
Pt1 0.0000 0.0000 0.3329
Pt2 0.0000 0.0000 0.5000
Pt3 0.0028 0.5014 0.9159
```

A plane-wave DFT calculation with PBE was carried out for a relaxed structure of CaDy2Pt2.

Values from the calculation:
**Final energy**: -56.7 eV per cell
**DFT formation energy**: -1.016 eV per atom

Structure (CIF):
```
data_CaDy2Pt2
_chemical_formula_sum 'Ca2 Dy4 Pt4'
_symmetry_space_group_name_H-M 'P 4/m b m'
_symmetry_Int_Tables_number 127
_symmetry_space_group_name_Hall '-P 4 2ab'
_cell_length_a 7.9040
_cell_length_b 7.9040
_cell_length_c 3.8354
_cell_angle_alpha 90.00
_cell_angle_beta 90.00
_cell_angle_gamma 90.00
loop_
_atom_site_label
_atom_site_fract_x
_atom_site_fract_y
_atom_site_fract_z
Ca1 0.0000 0.0000 0.0000
Dy1 0.1566 0.3434 0.5000
Pt1 0.1372 0.6372 0.0000
```

A plane-wave DFT calculation with PBE was carried out for a relaxed structure of CaDy2Pt.

Values from the calculation:
**E above lowest polymorph**: 9 meV per atom
**Final energy**: -58.5 eV per cell
**DFT formation energy**: -0.566 eV per atom

Structure (CIF):
```
data_CaDy2Pt
_chemical_formula_sum 'Ca3 Dy6 Pt3'
_symmetry_space_group_name_H-M 'R -3 m'
_symmetry_Int_Tables_number 166
_symmetry_space_group_name_Hall '-R 3 2"'
_cell_length_a 4.0805
_cell_length_b 4.0805
_cell_length_c 27.9756
_cell_angle_alpha 90.00
_cell_angle_beta 90.00
_cell_angle_gamma 120.00
loop_
_atom_site_label
_atom_site_fract_x
_atom_site_fract_y
_atom_site_fract_z
Ca1 0.0000 0.0000 0.0000
Dy1 0.0000 0.0000 0.2203
Pt1 0.0000 0.0000 0.5000
```

A plane-wave DFT calculation with PBE was carried out for a relaxed structure of CaDyPt.

Values from the calculation:
**E above lowest polymorph**: 52 meV per atom
**Final energy**: -59.9 eV per cell
**DFT formation energy**: -0.779 eV per atom

Structure (CIF):
```
data_CaDyPt
_chemical_formula_sum 'Ca4 Dy4 Pt4'
_symmetry_space_group_name_H-M 'F -4 3 m'
_symmetry_Int_Tables_number 216
_symmetry_space_group_name_Hall 'F -4 2 3'
_cell_length_a 6.9079
_cell_length_b 6.9079
_cell_length_c 6.9079
_cell_angle_alpha 90.00
_cell_angle_beta 90.00
_cell_angle_gamma 90.00
loop_
_atom_site_label
_atom_site_fract_x
_atom_site_fract_y
_atom_site_fract_z
Ca1 0.0000 0.0000 0.0000
Dy1 0.0000 0.0000 0.5000
Pt1 0.2500 0.2500 0.2500
```